Entry 1:
Mg3VH: relaxed, GGA-PBE.

Results
* D(E_F): 5.80 states/eV/cell
* SG: Pm-3m
* magnetization: 5.12 μB per cell
* calculated total energy: -2.167 eV/atom

Lattice parameters (Å, degrees): 5.386 5.386 5.386 90.00 90.00 90.00
Positions (direct):
V 0.000 0.000 0.000
Mg 0.500 0.000 0.000
Mg 0.000 0.000 0.500
H 0.500 0.500 0.500
Mg 0.000 0.500 0.000


Entry 2:
NdMgO2: relaxed, GGA-PBE.

Results
* D(E_F): 1.43 states/eV/cell
* formation energy (no corrections): -2.52 eV per atom
* SG: R-3m
* magnetization: 0.00 μB per cell

Lattice parameters (Å, degrees): 3.240 3.240 5.989 74.31 74.31 60.00
Positions (direct):
O 0.265 0.265 0.204
Nd 0.500 0.500 0.500
O 0.735 0.735 0.796
Mg 0.000 0.000 0.000


Entry 3:
CdSnI3: relaxed, GGA-PBE.

Results
* D(E_F): 4.00 states/eV/cell
* formation energy (no corrections): -0.14 eV per atom
* SG: Pm-3m
* magnetization: 0.67 μB per cell

Lattice parameters (Å, degrees): 6.078 6.078 6.078 90.00 90.00 90.00
Positions (direct):
I 0.500 0.000 0.000
I 0.000 0.000 0.500
I 0.000 0.500 0.000
Cd 0.500 0.500 0.500
Sn 0.000 0.000 0.000


Entry 4:
Ni5Ge4Ir: relaxed, GGA-PBE.

Results
* formation energy from the elements: -143 kJ/mol of formula units
* D(E_F): 12.35 states/eV/cell
* SG: Pmmn
* magnetization: 0.00 μB per cell

Lattice parameters (Å, degrees): 4.610 7.910 7.523 90.00 90.00 90.00
Positions (direct):
Ge 0.011 0.000 0.823
Ni 0.750 0.737 0.193
Ni 0.750 0.263 0.193
Ge 0.989 0.500 0.677
Ge 0.011 0.000 0.177
Ni 0.250 0.763 0.307
Ge 0.352 0.315 0.000
Ir 0.485 0.500 0.500
Ge 0.352 0.685 0.000
Ge 0.648 0.185 0.500
Ni 0.750 0.737 0.807
Ni 0.946 0.500 0.000
Ni 0.250 0.763 0.693
Ni 0.250 0.237 0.693
Ni 0.750 0.263 0.807
Ni 0.250 0.237 0.307
Ni 0.054 0.000 0.500
Ge 0.989 0.500 0.323
Ge 0.648 0.815 0.500
Ir 0.515 0.000 0.000


Entry 5:
ReSiW2: relaxed, GGA-PBE.

Results
* D(E_F): 2.46 states/eV/cell
* formation energy (no corrections): 0.14 eV per atom
* SG: I4/mmm
* magnetization: 0.00 μB per cell

Lattice parameters (Å, degrees): 4.941 4.941 4.941 134.73 134.73 65.94
Positions (direct):
Si 0.750 0.250 0.500
Re 0.250 0.750 0.500
W 0.000 0.000 0.000
W 0.500 0.500 0.000


Entry 6:
KRbV2: relaxed, GGA-PBE.

Results
* formation energy from the elements: 682 kJ/mol of formula units
* D(E_F): 9.30 states/eV/cell
* SG: I-42d
* magnetization: 0.00 μB per cell

Lattice parameters (Å, degrees): 4.433 4.433 13.131 80.28 80.28 90.00
Positions (direct):
K 0.250 0.750 0.500
V 0.875 0.144 0.750
V 0.894 0.125 0.250
Rb 0.750 0.250 0.500
K 0.500 0.500 0.000
Rb 0.000 0.000 0.000
V 0.375 0.106 0.750
V 0.856 0.625 0.250


Entry 7:
Pm2As2Pd3: relaxed, GGA-PBE.

Results
* formation energy from the elements: -642 kJ/mol of formula units
* D(E_F): 3.75 states/eV/cell
* SG: C2/m
* magnetization: 0.00 μB per cell

Lattice parameters (Å, degrees): 4.133 5.575 7.118 111.81 90.00 111.76
Positions (direct):
Pm 0.869 0.737 0.238
Pd 0.380 0.759 0.564
Pd 0.500 0.000 0.000
As 0.154 0.307 0.212
As 0.846 0.693 0.788
Pd 0.620 0.241 0.436
Pm 0.131 0.263 0.762


Entry 8:
Dy2Al4GePt3: relaxed, GGA-PBE.

Results
* formation energy from the elements: -929 kJ/mol of formula units
* D(E_F): 7.26 states/eV/cell
* SG: P-4m2
* magnetization: 0.00 μB per cell

Lattice parameters (Å, degrees): 4.244 4.244 10.425 90.00 90.00 90.00
Positions (direct):
Ge 0.500 0.500 0.500
Al 0.000 0.000 0.000
Pt 0.000 0.000 0.500
Pt 0.000 0.500 0.131
Al 0.500 0.500 0.000
Dy 0.500 0.000 0.250
Pt 0.500 0.000 0.869
Al 0.500 0.000 0.637
Al 0.000 0.500 0.363
Dy 0.000 0.500 0.750